Ce5Ga4: optimized geometry, GGA-PBE.

a = 6.272 Å, b = 9.073 Å, c = 9.073 Å
α = 120.00°, β = 90.00°, γ = 90.00°
Last column: magnetic moment on the atom in μB.
Positions (direct):
Ce 0.750 0.707 0.707  0.72
Ce 0.750 0.000 0.293  0.72
Ce 0.750 0.293 0.000  0.72
Ce 0.250 0.293 0.293  0.72
Ce 0.250 0.000 0.707  0.72
Ce 0.250 0.707 0.000  0.72
Ce 0.000 0.667 0.333  0.97
Ce 0.500 0.333 0.667  0.97
Ce 0.000 0.333 0.667  0.97
Ce 0.500 0.667 0.333  0.97
Ga 0.000 0.000 0.000  0.03
Ga 0.500 0.000 0.000  0.03
Ga 0.750 0.365 0.365  -0.01
Ga 0.750 0.000 0.635  -0.01
Ga 0.750 0.635 0.000  -0.01
Ga 0.250 0.635 0.635  -0.01
Ga 0.250 0.000 0.365  -0.01
Ga 0.250 0.365 0.000  -0.01

Energy relative to the elements ... -402 meV per atom
Volume ... 24.84 A^3/atom
Space group ... P6_3/mcm, No. 193
Energy relative to the lowest polymorph listed for this composition ... 14 meV/atom


CeGa: optimized geometry, GGA-PBE.

a = 5.391 Å, b = 5.878 Å, c = 5.877 Å
α = 101.23°, β = 90.00°, γ = 90.00°
Last column: magnetic moment on the atom in μB.
Positions (direct):
Ga 0.750 0.671 0.671  -0.02
Ga 0.250 0.329 0.329  -0.02
Ga 0.500 0.000 0.000  -0.01
Ga 0.000 0.000 0.000  -0.01
Ce 0.750 0.134 0.511  0.71
Ce 0.250 0.866 0.489  0.71
Ce 0.750 0.511 0.134  0.71
Ce 0.250 0.489 0.866  0.71

Energy relative to the elements ... -478 meV per atom
Volume ... 22.83 A^3/atom
Space group ... Cmcm, No. 63


CeGa2: optimized geometry, GGA-PBE.

a = 4.271 Å, b = 4.271 Å, c = 4.217 Å
α = 90.00°, β = 90.00°, γ = 120.00°
Last column: magnetic moment on the atom in μB.
Positions (direct):
Ga 0.667 0.333 0.500  -0.01
Ga 0.333 0.667 0.500  -0.01
Ce 0.000 0.000 0.000  0.61

Energy relative to the elements ... -588 meV per atom
Volume ... 22.21 A^3/atom
Space group ... P6/mmm, No. 191


CeGa3: optimized geometry, GGA-PBE.

a = 4.454 Å, b = 5.966 Å, c = 6.213 Å
α = 90.00°, β = 90.00°, γ = 90.00°
Last column: magnetic moment on the atom in μB.
Positions (direct):
Ce 0.000 0.616 0.000  0.72
Ce 0.500 0.384 0.500  0.72
Ga 0.500 0.248 0.000  0.01
Ga 0.000 0.142 0.758  0.01
Ga 0.500 0.858 0.742  0.01
Ga 0.000 0.752 0.500  0.01
Ga 0.000 0.142 0.242  0.01
Ga 0.500 0.858 0.258  0.01

Energy relative to the elements ... -466 meV per atom
Volume ... 20.64 A^3/atom
Space group ... Pmmn, No. 59


Ce3Ga2: optimized geometry, GGA-PBE.

a = 4.354 Å, b = 8.902 Å, c = 12.498 Å
α = 90.00°, β = 90.00°, γ = 90.00°
Last column: magnetic moment on the atom in μB.
Positions (direct):
Ce 0.250 0.605 0.584  0.36
Ce 0.250 0.895 0.084  0.36
Ce 0.750 0.395 0.416  0.36
Ce 0.750 0.105 0.916  0.36
Ce 0.750 0.010 0.624  0.71
Ce 0.750 0.490 0.124  0.71
Ce 0.250 0.990 0.376  0.71
Ce 0.250 0.510 0.876  0.71
Ce 0.250 0.216 0.801  0.45
Ce 0.250 0.284 0.301  0.45
Ce 0.750 0.784 0.199  0.45
Ce 0.750 0.716 0.699  0.45
Ga 0.250 0.242 0.554  0.00
Ga 0.250 0.258 0.054  0.00
Ga 0.750 0.758 0.446  0.00
Ga 0.750 0.742 0.946  0.00
Ga 0.750 0.375 0.676  -0.01
Ga 0.750 0.125 0.176  -0.01
Ga 0.250 0.625 0.324  -0.01
Ga 0.250 0.875 0.824  -0.01

Energy relative to the elements ... -366 meV per atom
Volume ... 24.22 A^3/atom
Space group ... Pnma, No. 62


Ce5Ga3: optimized geometry, GGA-PBE.

a = 8.879 Å, b = 8.879 Å, c = 8.879 Å
α = 95.94°, β = 95.94°, γ = 142.48°
Last column: magnetic moment on the atom in μB.
Positions (direct):
Ce 0.750 0.250 0.500  0.81
Ce 0.250 0.750 0.500  0.81
Ce 0.226 0.909 0.136  0.69
Ce 0.091 0.226 0.317  0.69
Ce 0.909 0.774 0.683  0.69
Ce 0.774 0.091 0.864  0.69
Ce 0.409 0.726 0.136  0.69
Ce 0.591 0.274 0.864  0.69
Ce 0.726 0.591 0.317  0.69
Ce 0.274 0.409 0.683  0.69
Ga 0.250 0.250 0.000  -0.01
Ga 0.750 0.750 0.000  -0.01
Ga 0.660 0.840 0.500  -0.02
Ga 0.160 0.660 0.820  -0.02
Ga 0.840 0.340 0.180  -0.02
Ga 0.340 0.160 0.500  -0.02

Energy relative to the elements ... -355 meV per atom
Volume ... 25.24 A^3/atom
Space group ... I4/mcm, No. 140
Energy relative to the lowest polymorph listed for this composition ... 0 meV/atom


CeGa2: optimized geometry, GGA-PBE.

a = 4.226 Å, b = 4.226 Å, c = 6.076 Å
α = 123.52°, β = 123.52°, γ = 86.70°
Last column: magnetic moment on the atom in μB.
Positions (direct):
Ce 0.500 0.500 0.000  0.54
Ga 0.195 0.195 0.318  0.00
Ga 0.805 0.805 0.682  0.00

Energy relative to the elements ... -331 meV per atom
Volume ... 23.50 A^3/atom
Space group ... C2/m, No. 12


CeGa: optimized geometry, GGA-PBE.

a = 5.986 Å, b = 5.986 Å, c = 4.125 Å
α = 90.00°, β = 90.00°, γ = 137.01°
Last column: magnetic moment on the atom in μB.
Positions (direct):
Ce 0.855 0.145 0.250  0.75
Ce 0.145 0.855 0.750  0.75
Ga 0.571 0.429 0.250  -0.02
Ga 0.429 0.571 0.750  -0.02

Energy relative to the elements ... -468 meV per atom
Volume ... 25.19 A^3/atom
Space group ... Cmcm, No. 63


Ce7Ga2: optimized geometry, GGA-PBE.

a = 5.206 Å, b = 5.290 Å, c = 9.167 Å
α = 89.58°, β = 89.99°, γ = 119.48°
Positions (direct):
Ce 0.338 0.675 0.198
Ce 0.662 0.325 0.802
Ce 0.344 0.688 0.501
Ce 0.656 0.312 0.499
Ce 0.990 0.980 0.312
Ce 0.010 0.020 0.688
Ce 0.000 0.000 0.000
Ga 0.333 0.667 0.848
Ga 0.667 0.333 0.152

Energy relative to the elements ... -186 meV per atom
Volume ... 24.42 A^3/atom
Space group ... C2/m, No. 12


Ce3Ga2: optimized geometry, GGA-PBE.

a = 8.365 Å, b = 8.365 Å, c = 7.134 Å
α = 90.00°, β = 90.00°, γ = 90.00°
Last column: magnetic moment on the atom in μB.
Positions (direct):
Ce 0.500 0.000 0.250  0.70
Ce 0.000 0.500 0.750  0.70
Ce 0.500 0.000 0.750  0.70
Ce 0.000 0.500 0.250  0.70
Ce 0.843 0.157 0.500  0.61
Ce 0.157 0.843 0.500  0.61
Ce 0.343 0.343 0.000  0.61
Ce 0.657 0.657 0.000  0.61
Ce 0.699 0.699 0.500  0.54
Ce 0.301 0.301 0.500  0.54
Ce 0.199 0.801 0.000  0.54
Ce 0.801 0.199 0.000  0.54
Ga 0.618 0.382 0.302  -0.01
Ga 0.382 0.618 0.302  -0.01
Ga 0.118 0.118 0.802  -0.01
Ga 0.882 0.882 0.802  -0.01
Ga 0.382 0.618 0.698  -0.01
Ga 0.618 0.382 0.698  -0.01
Ga 0.882 0.882 0.198  -0.01
Ga 0.118 0.118 0.198  -0.01

Energy relative to the elements ... -362 meV per atom
Volume ... 24.96 A^3/atom
Space group ... P4_2/mnm, No. 136


Ce7Ga: optimized geometry, GGA-PBE.

a = 6.585 Å, b = 6.585 Å, c = 6.585 Å
α = 60.00°, β = 60.00°, γ = 60.00°
Positions (direct):
Ce 0.500 0.500 0.000
Ce 0.500 0.000 0.500
Ce 0.000 0.500 0.500
Ce 0.500 0.000 0.000
Ce 0.000 0.500 0.000
Ce 0.000 0.000 0.500
Ce 0.500 0.500 0.500
Ga 0.000 0.000 0.000

Energy relative to the elements ... -113 meV per atom
Volume ... 25.24 A^3/atom
Space group ... Fm-3m, No. 225


Ce5Ga2: optimized geometry, GGA-PBE.

a = 4.395 Å, b = 5.597 Å, c = 7.521 Å
α = 96.55°, β = 90.00°, γ = 113.12°
Last column: magnetic moment on the atom in μB.
Positions (direct):
Ce 0.367 0.734 0.064  0.51
Ce 0.633 0.266 0.936  0.51
Ce 0.213 0.426 0.649  0.45
Ce 0.500 0.000 0.500  0.44
Ce 0.787 0.574 0.351  0.45
Ga 0.078 0.157 0.223  -0.01
Ga 0.922 0.843 0.777  -0.01

Energy relative to the elements ... -275 meV per atom
Volume ... 24.12 A^3/atom
Space group ... C2/m, No. 12


Ce4Ga: optimized geometry, GGA-PBE.

a = 5.608 Å, b = 5.674 Å, c = 8.473 Å
α = 103.35°, β = 90.00°, γ = 90.00°
Last column: magnetic moment on the atom in μB.
Positions (direct):
Ce 0.516 0.095 0.161  0.03
Ce 0.016 0.905 0.339  0.03
Ce 0.484 0.905 0.839  0.03
Ce 0.984 0.095 0.661  0.03
Ce 0.784 0.495 0.594  0.06
Ce 0.284 0.505 0.906  0.06
Ce 0.216 0.505 0.406  0.06
Ce 0.716 0.495 0.094  0.06
Ga 0.000 0.000 0.000  0.00
Ga 0.500 0.000 0.500  0.00

Energy relative to the elements ... -102 meV per atom
Volume ... 26.23 A^3/atom
Space group ... P2_1/c, No. 14
Energy relative to the lowest polymorph listed for this composition ... 92 meV/atom


CeGa3: optimized geometry, GGA-PBE.

a = 6.383 Å, b = 6.383 Å, c = 4.574 Å
α = 90.00°, β = 90.00°, γ = 120.00°
Last column: magnetic moment on the atom in μB.
Positions (direct):
Ce 0.333 0.667 0.750  0.18
Ce 0.667 0.333 0.250  0.18
Ga 0.147 0.293 0.250  0.00
Ga 0.707 0.853 0.250  0.00
Ga 0.147 0.853 0.250  0.00
Ga 0.853 0.707 0.750  0.00
Ga 0.293 0.147 0.750  0.00
Ga 0.853 0.147 0.750  0.00

Energy relative to the elements ... -557 meV per atom
Volume ... 20.17 A^3/atom
Space group ... P6_3/mmc, No. 194


Ce2GdGa: optimized geometry, GGA-PBE.

a = 4.950 Å, b = 4.547 Å, c = 4.547 Å
α = 90.00°, β = 90.00°, γ = 90.00°
Last column: magnetic moment on the atom in μB.
Positions (direct):
Gd 0.500 0.500 0.500  7.19
Ga 0.500 0.000 0.000  -0.04
Ce 0.000 0.000 0.500  0.64
Ce 0.000 0.500 0.000  0.64

Energy relative to the elements ... -228 meV per atom
Volume ... 25.58 A^3/atom
Space group ... P4/mmm, No. 123
Energy relative to the lowest polymorph listed for this composition ... 0 meV/atom


Ce2GdGa: optimized geometry, GGA-PBE.

a = 3.917 Å, b = 3.917 Å, c = 7.202 Å
α = 90.00°, β = 90.00°, γ = 90.00°
Last column: magnetic moment on the atom in μB.
Positions (direct):
Gd 0.500 0.500 0.500  -7.30
Ga 0.500 0.500 0.000  0.02
Ce 0.000 0.000 0.806  -0.64
Ce 0.000 0.000 0.194  -0.64

Energy relative to the elements ... -179 meV per atom
Volume ... 27.63 A^3/atom
Space group ... P4/mmm, No. 123
Energy relative to the lowest polymorph listed for this composition ... 50 meV/atom


CeGd2Ga: optimized geometry, GGA-PBE.

a = 3.507 Å, b = 3.507 Å, c = 8.793 Å
α = 90.00°, β = 90.00°, γ = 90.00°
Last column: magnetic moment on the atom in μB.
Positions (direct):
Gd 0.000 0.000 0.784  7.08
Gd 0.000 0.000 0.216  7.08
Ga 0.500 0.500 0.000  -0.02
Ce 0.500 0.500 0.500  -0.62

Energy relative to the elements ... -237 meV per atom
Volume ... 27.04 A^3/atom
Space group ... P4/mmm, No. 123
Energy relative to the lowest polymorph listed for this composition ... 0 meV/atom


CeGdGa4: optimized geometry, GGA-PBE.

a = 5.573 Å, b = 5.573 Å, c = 5.573 Å
α = 60.00°, β = 60.00°, γ = 60.00°
Last column: magnetic moment on the atom in μB.
Positions (direct):
Gd 0.250 0.250 0.250  7.14
Ga 0.625 0.625 0.124  -0.01
Ga 0.625 0.124 0.625  -0.01
Ga 0.625 0.625 0.625  -0.01
Ga 0.124 0.625 0.625  -0.01
Ce 0.000 0.000 0.000  0.59

Energy relative to the elements ... -536 meV per atom
Volume ... 20.40 A^3/atom
Space group ... F-43m, No. 216


CeGd2Ga: optimized geometry, GGA-PBE.

a = 5.311 Å, b = 5.311 Å, c = 5.311 Å
α = 60.00°, β = 60.00°, γ = 60.00°
Last column: magnetic moment on the atom in μB.
Positions (direct):
Gd 0.250 0.250 0.250  7.50
Gd 0.750 0.750 0.750  7.50
Ga 0.500 0.500 0.500  -0.07
Ce 0.000 0.000 0.000  1.40

Energy relative to the elements ... -82 meV per atom
Volume ... 26.48 A^3/atom
Space group ... Fm-3m, No. 225
Energy relative to the lowest polymorph listed for this composition ... 155 meV/atom


CeGd2Ga: optimized geometry, GGA-PBE.

a = 4.619 Å, b = 4.794 Å, c = 4.794 Å
α = 90.00°, β = 90.00°, γ = 90.00°
Last column: magnetic moment on the atom in μB.
Positions (direct):
Gd 0.000 0.000 0.500  7.24
Gd 0.000 0.500 0.000  7.24
Ga 0.500 0.000 0.000  -0.07
Ce 0.500 0.500 0.500  0.79

Energy relative to the elements ... -222 meV per atom
Volume ... 26.54 A^3/atom
Space group ... P4/mmm, No. 123
Energy relative to the lowest polymorph listed for this composition ... 15 meV/atom


Ce2GdGa: optimized geometry, GGA-PBE.

a = 5.324 Å, b = 5.324 Å, c = 5.324 Å
α = 60.00°, β = 60.00°, γ = 60.00°
Last column: magnetic moment on the atom in μB.
Positions (direct):
Gd 0.500 0.500 0.500  7.45
Ga 0.000 0.000 0.000  -0.04
Ce 0.250 0.250 0.250  0.77
Ce 0.750 0.750 0.750  0.77

Energy relative to the elements ... -61 meV per atom
Volume ... 26.68 A^3/atom
Space group ... Fm-3m, No. 225
Energy relative to the lowest polymorph listed for this composition ... 167 meV/atom


CeGdGaGe: optimized geometry, GGA-PBE.

a = 5.129 Å, b = 5.129 Å, c = 5.129 Å
α = 60.00°, β = 60.00°, γ = 60.00°
Last column: magnetic moment on the atom in μB.
Positions (direct):
Ge 0.500 0.500 0.500  0.04
Gd 0.750 0.750 0.750  -7.01
Ga 0.000 0.000 0.000  0.04
Ce 0.250 0.250 0.250  0.64

Energy relative to the elements ... -557 meV per atom
Volume ... 23.86 A^3/atom
Space group ... F-43m, No. 216


CeGdInGa: optimized geometry, GGA-PBE.

a = 5.286 Å, b = 5.286 Å, c = 5.286 Å
α = 60.00°, β = 60.00°, γ = 60.00°
Last column: magnetic moment on the atom in μB.
Positions (direct):
Gd 0.750 0.750 0.750  -7.06
Ga 0.500 0.500 0.500  0.04
Ce 0.250 0.250 0.250  0.77
In 0.000 0.000 0.000  0.04

Energy relative to the elements ... -437 meV per atom
Volume ... 26.11 A^3/atom
Space group ... F-43m, No. 216


LaCeGdGa: optimized geometry, GGA-PBE.

a = 5.364 Å, b = 5.364 Å, c = 5.364 Å
α = 60.00°, β = 60.00°, γ = 60.00°
Last column: magnetic moment on the atom in μB.
Positions (direct):
Gd 0.500 0.500 0.500  -7.50
Ga 0.250 0.250 0.250  0.06
Ce 0.750 0.750 0.750  -1.19
La 0.000 0.000 0.000  -0.30

Energy relative to the elements ... -73 meV per atom
Volume ... 27.28 A^3/atom
Space group ... F-43m, No. 216


CeGdLuGa: optimized geometry, GGA-PBE.

a = 5.308 Å, b = 5.308 Å, c = 5.308 Å
α = 60.00°, β = 60.00°, γ = 60.00°
Last column: magnetic moment on the atom in μB.
Positions (direct):
Gd 0.500 0.500 0.500  7.24
Lu 0.750 0.750 0.750  0.28
Ga 0.250 0.250 0.250  -0.04
Ce 0.000 0.000 0.000  0.78

Energy relative to the elements ... -100 meV per atom
Volume ... 26.44 A^3/atom
Space group ... F-43m, No. 216


For the records above, the corresponding E_tot values read -90.80 -39.67 -13.75 -33.76 -102.74 -83.18 -12.98 -19.79 -49.27 -102.67 -45.47 -37.64 -54.54 -34.48 -29.89 -29.69 -38.07 -35.34 -37.45 -38.01 -29.22 -29.89 -27.53 -28.26 -27.96 eV/cell.
For the records above, the corresponding DOS at the Fermi energy values read 2.298 2.431 1.850 1.425 2.310 3.152 1.899 2.135 2.633 2.556 2.740 2.644 2.727 1.006 2.331 2.804 1.499 1.082 1.817 1.864 2.786 1.670 1.578 2.154 1.942 states/eV per atom.